Below is a PBEsol-optimized structure of SrBe2Br, with properties calculated at the meta-GGA SCAN level.

Lattice parameters (Å, degrees): 5.0076 5.0076 5.0076 60.00 60.00 60.00
Closest atoms and distances in Å follow each position.
Positions (direct):
Sr 0.5000 0.5000 0.5000  8 Be 3.07
Br 0.0000 0.0000 0.0000  8 Be 3.07
Be 0.2500 0.2500 0.2500  4 Br 3.07, 4 Sr 3.07
Be 0.7500 0.7500 0.7500  4 Br 3.07, 4 Sr 3.07

Results
Size of the total moment, μB per atom: 0.000
ΔE_f (raw), eV/atom: 0.806
Crystal system: cubic
SG: Fm-3m (225)

---

Below is a PBEsol-optimized structure of SrBeBr, with properties calculated at the meta-GGA SCAN level.

Lattice parameters (Å, degrees): 3.7759 3.7759 6.6048 106.61 106.61 90.00
Closest atoms and distances in Å follow each position.
Positions (direct):
Sr 0.6704 0.6704 0.3409  4 Br 3.14, 4 Be 3.21
Br 0.3068 0.3068 0.6137  4 Sr 3.14, 1 Be 3.43
Be 0.0227 0.0227 0.0455  4 Sr 3.21, 1 Br 3.43

Results
Size of the total moment, μB per atom: 0.002
ΔE_f (raw), eV/atom: -0.236
Crystal system: tetragonal
SG: I4mm (107)

---

Below is a PBEsol-optimized structure of Ta2BeBr, with properties calculated at the meta-GGA SCAN level.

Lattice parameters (Å, degrees): 2.9707 4.6033 5.4526 114.97 105.81 90.00
Closest atoms and distances in Å follow each position.
Positions (direct):
Be 0.4930 0.4930 0.9860  6 Ta 2.58-2.74, 2 Br 2.89
Br 0.2558 0.7558 0.5115  6 Ta 2.60-2.74, 2 Be 2.89
Ta 0.9823 0.9823 0.9647  2 Br 2.60, 4 Be 2.74
Ta 0.7689 0.2689 0.5378  2 Be 2.58, 4 Br 2.74

Results
Size of the total moment, μB per atom: 0.000
ΔE_f (raw), eV/atom: 0.689
Crystal system: orthorhombic
SG: Imm2 (44)

---

Below is a PBEsol-optimized structure of TaBe2Br, with properties calculated at the meta-GGA SCAN level.

Lattice parameters (Å, degrees): 5.2805 5.3533 5.3533 75.92 60.45 60.45
Closest atoms and distances in Å follow each position.
Positions (direct):
Be 0.1473 0.9777 0.4777  2 Br 2.32, 2 Ta 2.52
Be 0.6027 0.0223 0.5223  2 Br 2.32, 2 Ta 2.52
Be 0.3750 0.4777 0.0223  2 Br 2.32, 2 Ta 2.52
Be 0.8750 0.5223 0.9777  2 Br 2.32, 2 Ta 2.52
Br 0.2500 0.5000 0.5000  4 Be 2.32
Br 0.5000 0.0000 0.0000  4 Be 2.32
Ta 0.7500 0.5000 0.5000  4 Be 2.52, 2 Br 2.64
Ta 0.0000 0.0000 0.0000  4 Be 2.52, 2 Br 2.64

Results
Size of the total moment, μB per atom: 0.000
ΔE_f (raw), eV/atom: 0.974
Crystal system: tetragonal
SG: I-42d (122)

---

Below is a PBEsol-optimized structure of Ta2BeBr, with properties calculated at the meta-GGA SCAN level.

Lattice parameters (Å, degrees): 3.8291 3.8291 5.1124 111.99 111.99 90.00
Closest atoms and distances in Å follow each position.
Positions (direct):
Be 0.5000 0.5000 0.0000  8 Ta 2.71-2.89, 4 Br 2.89
Br 0.2500 0.7500 0.5000  8 Ta 2.71-2.89, 4 Be 2.89
Ta 0.0000 0.0000 0.0000  4 Be 2.71, 4 Ta 2.89, 4 Br 2.89
Ta 0.7500 0.2500 0.5000  4 Br 2.71, 4 Be 2.89, 4 Ta 2.89

Results
Size of the total moment, μB per atom: 0.000
ΔE_f (raw), eV/atom: 0.905
Crystal system: tetragonal
SG: I-4m2 (119)

---

Below is a PBEsol-optimized structure of TaBeBr2, with properties calculated at the meta-GGA SCAN level.

Lattice parameters (Å, degrees): 3.0387 3.2487 9.7524 90.00 90.00 117.88
Closest atoms and distances in Å follow each position.
Positions (direct):
Be 0.5000 0.0000 0.0000  6 Be 3.04-3.25, 4 Br 3.14
Br 0.0000 0.0000 0.7185  2 Ta 2.62
Br 0.0000 0.0000 0.2815  2 Ta 2.62
Ta 0.5000 0.0000 0.5000  4 Br 2.62

Results
Size of the total moment, μB per atom: 0.000
ΔE_f (raw), eV/atom: 0.622
Crystal system: orthorhombic
SG: Cmmm (65)

---

Below is a PBEsol-optimized structure of TaBeBr2, with properties calculated at the meta-GGA SCAN level.

Lattice parameters (Å, degrees): 5.6971 6.3017 5.6971 63.13 90.00 116.87
Closest atoms and distances in Å follow each position.
Positions (direct):
Be 0.2500 0.5000 0.2500  4 Br 2.16
Be 0.5000 0.0000 0.5000  4 Br 2.16
Br 0.1845 0.7500 0.8750  2 Be 2.16
Br 0.5655 0.7500 0.3750  2 Be 2.16
Br 0.3750 0.2500 0.1845  2 Be 2.16
Br 0.8750 0.2500 0.5655  2 Be 2.16
Ta 0.7500 0.5000 0.7500  4 Br 2.57
Ta 0.0000 0.0000 0.0000  4 Br 2.57

Results
Size of the total moment, μB per atom: 0.253
ΔE_f (raw), eV/atom: 0.954
Crystal system: tetragonal
SG: I-42d (122)

---

Below is a PBEsol-optimized structure of TaBeBr2, with properties calculated at the meta-GGA SCAN level.

Lattice parameters (Å, degrees): 3.0909 4.6648 6.6518 110.53 103.43 90.00
Closest atoms and distances in Å follow each position.
Positions (direct):
Be 0.8449 0.3449 0.6897  2 Ta 2.48, 2 Br 2.77
Br 0.9681 0.9681 0.9362  2 Be 2.77, 4 Ta 2.84, 2 Br 3.09
Br 0.1809 0.6809 0.3619  2 Ta 2.62
Ta 0.5061 0.5061 0.0122  2 Be 2.48, 2 Br 2.62

Results
Size of the total moment, μB per atom: 0.244
ΔE_f (raw), eV/atom: 0.436
Crystal system: orthorhombic
SG: Imm2 (44)